(1)
{
  "formula": "YFeGe2Bi",
  "functional": "GGA-PBE",
  "state": "optimized geometry",
  "lattice": [[4.527, 0.000, 0.000], [0.000, 5.135, 0.000], [0.000, 0.000, 4.527]],
  "species": ["Y", "Ge", "Ge", "Bi", "Fe"],
  "fractional_positions": [[0.000, 0.500, 0.000], [0.000, 0.000, 0.500], [0.500, 0.000, 0.000], [0.500, 0.500, 0.500], [0.000, 0.000, 0.000]],
  "density_g_cm3": 7.87,
  "magmom_total_mub_per_cell": 0.00,
  "volume_a3_per_atom": 21.04
}

(2)
{
  "formula": "Ac4Nd5Tm",
  "functional": "GGA-PBE",
  "state": "optimized geometry",
  "lattice": [[-1.661, -1.254, 5.060], [7.112, -5.186, 1.049], [1.371, 9.964, -0.039]],
  "species": ["Ac", "Ac", "Ac", "Ac", "Nd", "Nd", "Nd", "Nd", "Nd", "Tm"],
  "fractional_positions": [[0.325, 0.575, 0.651], [0.977, 0.723, 0.954], [0.675, 0.425, 0.349], [0.023, 0.277, 0.046], [0.821, 0.267, 0.641], [0.836, 0.875, 0.673], [0.164, 0.125, 0.327], [0.500, 0.500, 0.000], [0.179, 0.733, 0.359], [0.500, 0.000, 0.000]],
  "density_g_cm3": 7.29,
  "magmom_total_mub_per_cell": 0.00,
  "volume_a3_per_atom": 40.94
}

(3)
{
  "formula": "Mn2MoAu",
  "functional": "GGA-PBE",
  "state": "optimized geometry",
  "lattice": [[-5.205, 0.483, -7.407], [-3.211, -1.183, -8.395], [-5.341, -2.258, -6.969]],
  "species": ["Au", "Mn", "Mn", "Mo"],
  "fractional_positions": [[0.746, 0.746, 0.746], [0.993, 0.993, 0.993], [0.255, 0.255, 0.255], [0.505, 0.505, 0.505]],
  "density_g_cm3": 11.20,
  "magmom_total_mub_per_cell": 0.45,
  "volume_a3_per_atom": 14.92,
  "de_polymorph_ev_per_fu": 0.76
}

(4)
{
  "formula": "MnPdAu",
  "functional": "GGA-PBE",
  "state": "optimized geometry",
  "lattice": [[6.298, -0.560, 0.000], [-2.909, 5.614, 0.000], [-1.695, -2.527, 6.785]],
  "species": ["Au", "Au", "Au", "Au", "Mn", "Mn", "Mn", "Mn", "Pd", "Pd", "Pd", "Pd"],
  "fractional_positions": [[0.625, 0.375, 0.250], [0.125, 0.375, 0.750], [0.625, 0.375, 0.750], [0.625, 0.875, 0.250], [0.052, 0.948, 0.500], [0.802, 0.198, 0.000], [0.448, 0.552, 0.500], [0.198, 0.802, 0.000], [0.147, 0.647, 0.294], [0.103, 0.103, 0.206], [0.897, 0.897, 0.794], [0.353, 0.853, 0.706]],
  "density_g_cm3": 10.40,
  "magmom_total_mub_per_cell": 18.02,
  "volume_a3_per_atom": 19.07,
  "de_polymorph_ev_per_fu": 0.98
}

(5)
{
  "formula": "Ni3IrW2",
  "functional": "GGA-PBE",
  "state": "optimized geometry",
  "lattice": [[4.673, -0.985, 1.238], [0.207, 4.771, 1.238], [-0.878, -0.681, 6.597]],
  "species": ["Ni", "Ni", "Ni", "Ni", "Ni", "Ni", "Ir", "Ir", "W", "W", "W", "W"],
  "fractional_positions": [[0.423, 0.577, 0.250], [0.577, 0.423, 0.750], [0.825, 0.650, 0.003], [0.350, 0.175, 0.497], [0.650, 0.825, 0.503], [0.175, 0.350, 0.997], [0.918, 0.082, 0.750], [0.082, 0.918, 0.250], [0.123, 0.628, 0.625], [0.628, 0.123, 0.125], [0.372, 0.877, 0.875], [0.877, 0.372, 0.375]],
  "density_g_cm3": 15.42,
  "magmom_total_mub_per_cell": 0.00,
  "volume_a3_per_atom": 13.21
}

(6)
{
  "formula": "SrCeZnCd",
  "functional": "GGA-PBE",
  "state": "optimized geometry",
  "lattice": [[-2.052, -1.212, -4.906], [-2.532, -4.766, -0.796], [-5.403, -0.128, -0.740]],
  "species": ["Sr", "Zn", "Ce", "Cd"],
  "fractional_positions": [[0.000, 0.000, 0.000], [0.750, 0.750, 0.750], [0.500, 0.500, 0.500], [0.250, 0.250, 0.250]],
  "density_g_cm3": 5.87,
  "magmom_total_mub_per_cell": 0.94,
  "volume_a3_per_atom": 28.69
}

(7)
{
  "formula": "Ho7TmMg4",
  "functional": "GGA-PBE",
  "state": "optimized geometry",
  "lattice": [[5.713, 0.000, 0.000], [2.857, 8.457, 1.151], [2.857, 1.164, 7.397]],
  "species": ["Ho", "Ho", "Ho", "Ho", "Ho", "Ho", "Ho", "Tm", "Mg", "Mg", "Mg", "Mg"],
  "fractional_positions": [[0.798, 0.878, 0.526], [0.202, 0.122, 0.474], [0.080, 0.576, 0.265], [0.920, 0.424, 0.735], [0.250, 0.713, 0.788], [0.500, 0.000, 0.000], [0.750, 0.287, 0.212], [0.000, 0.000, 0.000], [0.542, 0.302, 0.614], [0.458, 0.698, 0.386], [0.675, 0.654, 0.996], [0.325, 0.346, 0.004]],
  "density_g_cm3": 6.74,
  "magmom_total_mub_per_cell": 0.34,
  "volume_a3_per_atom": 29.15
}

(8)
{
  "formula": "BaTe2Os",
  "functional": "GGA-PBE",
  "state": "optimized geometry",
  "lattice": [[-4.488, -4.116, 0.305], [-1.940, -5.086, -2.746], [1.533, -5.015, 2.875]],
  "species": ["Ba", "Os", "Te", "Te"],
  "fractional_positions": [[0.551, 0.551, 0.468], [0.311, 0.311, 0.025], [0.898, 0.898, 0.182], [0.739, 0.739, 0.825]],
  "density_g_cm3": 7.61,
  "magmom_total_mub_per_cell": 0.00,
  "volume_a3_per_atom": 31.79,
  "de_polymorph_ev_per_fu": 0.67,
  "e_form_raw_ev_per_atom": -0.28
}

Number 1: raw total energy -28.9 eV/cell. Number 2: raw total energy -41.9 eV/cell. Number 3: raw total energy -31.2 eV/cell. Number 4: raw total energy -68.6 eV/cell. Number 5: raw total energy -104.9 eV/cell. Number 6: raw total energy -10.4 eV/cell. Number 7: raw total energy -40.7 eV/cell. Number 8: raw total energy -20.5 eV/cell.